Record 1
Computed, not measured: an optimized crystal structure of GaCo2Ni at the PBE level of DFT.

Lattice parameters (Å, degrees): 3.5170 3.5170 3.7302 90.00 90.00 90.00
Last column: nearest neighbours and their distance in Å.
Sites, in units of the cell vectors:
Ga1 0.0000 0.0000 0.0000  4 Ni 2.49, 8 Co 2.56
Co1 0.0000 0.5000 0.5000  4 Co 2.49, 4 Ni 2.56, 4 Ga 2.56
Co2 0.5000 0.0000 0.5000  4 Co 2.49, 4 Ni 2.56, 4 Ga 2.56
Ni1 0.5000 0.5000 0.0000  4 Ga 2.49, 8 Co 2.56

## Properties
E = -23.3 eV for the cell shown
M_tot = 0.75 μB/atom

Record 2
Computed, not measured: an optimized crystal structure of Ta2NbOs at the PBE level of DFT.

Lattice parameters (Å, degrees): 10.8445 4.6908 5.4740 90.00 90.00 90.00
Last column: nearest neighbours and their distance in Å.
Sites, in units of the cell vectors:
Ta1 0.1714 0.2500 0.0119  3 Os 2.71-2.79, 4 Ta 2.71-2.81, 1 Nb 3.01
Ta2 0.1861 0.2500 0.5066  4 Ta 2.71-2.81, 3 Nb 2.84-2.86, 1 Os 2.86
Ta3 0.3139 0.7500 0.0066  4 Ta 2.71-2.81, 3 Nb 2.84-2.86, 1 Os 2.86
Ta4 0.3286 0.7500 0.5119  3 Os 2.71-2.79, 4 Ta 2.71-2.81, 1 Nb 3.01
Ta5 0.6714 0.2500 0.4881  3 Os 2.71-2.79, 4 Ta 2.71-2.81, 1 Nb 3.01
Ta6 0.6861 0.2500 0.9934  4 Ta 2.71-2.81, 3 Nb 2.84-2.86, 1 Os 2.86
Ta7 0.8139 0.7500 0.4934  4 Ta 2.71-2.81, 3 Nb 2.84-2.86, 1 Os 2.86
Ta8 0.8286 0.7500 0.9881  3 Os 2.71-2.79, 4 Ta 2.71-2.81, 1 Nb 3.01
Nb1 0.0654 0.7500 0.3372  4 Os 2.70-2.89, 4 Ta 2.84-3.01
Nb2 0.4346 0.2500 0.8372  4 Os 2.70-2.89, 4 Ta 2.84-3.01
Nb3 0.5654 0.7500 0.1628  4 Os 2.70-2.89, 4 Ta 2.84-3.01
Nb4 0.9346 0.2500 0.6628  4 Os 2.70-2.89, 4 Ta 2.84-3.01
Os1 0.0655 0.7500 0.8311  4 Nb 2.70-2.89, 4 Ta 2.71-2.86
Os2 0.4345 0.2500 0.3311  4 Nb 2.70-2.89, 4 Ta 2.71-2.86
Os3 0.5655 0.7500 0.6689  4 Nb 2.70-2.89, 4 Ta 2.71-2.86
Os4 0.9345 0.2500 0.1689  4 Nb 2.70-2.89, 4 Ta 2.71-2.86

## Properties
relative energy among the computed polymorphs = 0.318 eV/atom
M_tot = 0.00 μB/atom

Record 3
Computed, not measured: an optimized crystal structure of Ga13Mo4 at the PBE level of DFT.

Lattice parameters (Å, degrees): 9.8396 9.8396 8.4834 115.12 115.12 22.39
Last column: nearest neighbours and their distance in Å.
Sites, in units of the cell vectors:
Ga1 0.0000 0.0000 0.0000  4 Mo 2.54
Ga2 0.0926 0.0926 0.7969  3 Mo 2.60, 4 Ga 2.65-2.71
Ga3 0.0936 0.0936 0.3810  3 Ga 2.58, 3 Mo 2.65-2.68
Ga4 0.2284 0.2284 0.3877  5 Ga 2.57-2.83, 2 Mo 2.61
Ga5 0.2976 0.2976 0.0678  5 Ga 2.55-2.73, 3 Mo 2.72-2.79
Ga6 0.3690 0.3690 0.8517  7 Ga 2.73-3.05, 3 Mo 2.78-2.90
Ga7 0.4209 0.4209 0.4317  5 Ga 2.58-2.76, 1 Mo 2.86
Ga8 0.5791 0.5791 0.5683  5 Ga 2.58-2.76, 1 Mo 2.86
Ga9 0.6310 0.6310 0.1483  7 Ga 2.73-3.05, 3 Mo 2.78-2.90
Ga10 0.7024 0.7024 0.9322  5 Ga 2.55-2.73, 3 Mo 2.72-2.79
Ga11 0.7716 0.7716 0.6123  5 Ga 2.57-2.83, 2 Mo 2.61
Ga12 0.9064 0.9064 0.6190  3 Ga 2.58, 3 Mo 2.65-2.68
Ga13 0.9074 0.9074 0.2031  3 Mo 2.60, 4 Ga 2.65-2.71
Mo1 0.2055 0.2055 0.7074  8 Ga 2.60-2.85
Mo2 0.4973 0.4973 0.1953  7 Ga 2.54-2.78
Mo3 0.5027 0.5027 0.8047  7 Ga 2.54-2.78
Mo4 0.7945 0.7945 0.2926  8 Ga 2.60-2.85

## Properties
E = -83.6 eV for the cell shown
M_tot = 0.00 μB/atom

Record 4
Computed, not measured: an optimized crystal structure of Nd2Y2CBr5 at the PBE level of DFT.

Lattice parameters (Å, degrees): 9.2407 9.2407 8.4285 102.65 102.65 24.44
Last column: nearest neighbours and their distance in Å.
Sites, in units of the cell vectors:
Nd1 0.0014 0.0014 0.2944  2 C 2.62
Nd2 0.9986 0.9986 0.7056  2 C 2.62
Y1 0.3626 0.3626 0.4286  1 C 2.42
Y2 0.6374 0.6374 0.5714  1 C 2.42
C1 0.5000 0.5000 0.5000  2 Y 2.42, 4 Nd 2.62
Br1 0.1679 0.1679 0.8271  2 Y 2.87, 1 Nd 3.00
Br2 0.1740 0.1740 0.3440  2 Y 2.92, 1 Nd 3.05
Br3 0.5000 0.5000 0.0000  4 Nd 3.16
Br4 0.8260 0.8260 0.6560  2 Y 2.92, 1 Nd 3.05
Br5 0.8321 0.8321 0.1729  2 Y 2.87, 1 Nd 3.00

## Properties
relative energy among the computed polymorphs = 0.000 eV/atom
M_tot = 0.01 μB/atom

Record 5
Computed, not measured: an optimized crystal structure of AcZnPb at the PBE level of DFT.

Lattice parameters (Å, degrees): 5.3887 5.3887 5.3887 60.00 60.00 60.00
Last column: nearest neighbours and their distance in Å.
Sites, in units of the cell vectors:
Ac1 0.0000 0.0000 0.0000  4 Pb 3.30, 4 Zn 3.30
Zn1 0.2500 0.2500 0.2500  4 Ac 3.30
Pb1 0.7500 0.7500 0.7500  4 Ac 3.30

## Properties
relative energy among the computed polymorphs = 0.368 eV/atom
M_tot = 0.00 μB/atom

Record 6
Computed, not measured: an optimized crystal structure of Ba2NbFeS6 at the PBE level of DFT.

Lattice parameters (Å, degrees): 6.8253 6.8253 6.8253 60.00 60.00 60.00
Last column: nearest neighbours and their distance in Å.
Sites, in units of the cell vectors:
Ba1 0.2500 0.2500 0.2500  12 S 3.41
Ba2 0.7500 0.7500 0.7500  12 S 3.41
Nb1 0.0000 0.0000 0.0000  6 S 2.44
Fe1 0.5000 0.5000 0.5000  6 S 2.38
S1 0.2532 0.2532 0.7468  1 Fe 2.38, 1 Nb 2.44
S2 0.2532 0.7468 0.2532  1 Fe 2.38, 1 Nb 2.44
S3 0.2532 0.7468 0.7468  1 Fe 2.38, 1 Nb 2.44
S4 0.7468 0.2532 0.2532  1 Fe 2.38, 1 Nb 2.44
S5 0.7468 0.2532 0.7468  1 Fe 2.38, 1 Nb 2.44
S6 0.7468 0.7468 0.2532  1 Fe 2.38, 1 Nb 2.44

## Properties
relative energy among the computed polymorphs = 0.000 eV/atom
M_tot = 0.39 μB/atom

Record 7
Computed, not measured: an optimized crystal structure of NiI at the PBE level of DFT.

Lattice parameters (Å, degrees): 3.8637 3.8637 3.8637 59.22 59.22 59.22
Last column: nearest neighbours and their distance in Å.
Sites, in units of the cell vectors:
Ni1 0.0000 0.0000 0.0000  6 I 2.72
I1 0.5000 0.5000 0.5000  6 Ni 2.72

## Properties
E = -6.6 eV for the cell shown
M_tot = 0.01 μB/atom

Record 8
Computed, not measured: an optimized crystal structure of Pr3GaHg2PdAu2 at the PBE level of DFT.

Lattice parameters (Å, degrees): 3.9796 7.9324 7.9324 120.59 90.00 90.00
Last column: nearest neighbours and their distance in Å.
Sites, in units of the cell vectors:
Pr1 0.0000 0.0000 0.0000  4 Au 3.10, 2 Ga 3.34, 4 Hg 3.42
Pr2 0.0000 0.4025 0.8051  1 Pd 3.04, 4 Au 3.09-3.19, 2 Hg 3.39
Pr3 0.0000 0.8051 0.4025  1 Pd 3.04, 4 Au 3.09-3.19, 2 Hg 3.39
Ga1 0.5000 0.6583 0.6583  2 Pd 2.60
Hg1 0.5000 0.1517 0.4031  2 Pd 2.95, 2 Au 3.03-3.07
Hg2 0.5000 0.4031 0.1517  2 Pd 2.95, 2 Au 3.03-3.07
Pd1 0.0000 0.4450 0.4450  2 Ga 2.60
Au1 0.5000 0.0587 0.7347  1 Ga 2.91, 2 Hg 3.03-3.07, 6 Pr 3.09-3.19
Au2 0.5000 0.7347 0.0587  1 Ga 2.91, 2 Hg 3.03-3.07, 6 Pr 3.09-3.19

## Properties
E = -36.0 eV for the cell shown
M_tot = 0.00 μB/atom

Record 9
Computed, not measured: an optimized crystal structure of TbDyGe2 at the PBE level of DFT.

Lattice parameters (Å, degrees): 3.9708 5.7895 5.7895 43.57 90.00 90.00
Last column: nearest neighbours and their distance in Å.
Sites, in units of the cell vectors:
Tb1 0.0000 0.0000 0.0000  7 Ge 2.97-3.22
Dy1 0.5000 0.7241 0.7241  7 Ge 2.98-3.22
Ge1 0.0000 0.2766 0.2766  2 Ge 2.70, 1 Tb 2.97, 4 Dy 2.98
Ge2 0.5000 0.4472 0.4472  2 Ge 2.70, 1 Dy 2.98, 4 Tb 2.98

## Properties
relative energy among the computed polymorphs = 0.000 eV/atom
M_tot = 0.00 μB/atom

Record 10
Computed, not measured: an optimized crystal structure of LuSnNO at the PBE level of DFT.

Lattice parameters (Å, degrees): 3.6809 5.8385 6.4248 90.00 90.00 90.00
Last column: nearest neighbours and their distance in Å.
Sites, in units of the cell vectors:
Lu1 0.0000 0.1804 0.0000  2 O 2.09-2.12, 2 N 2.23
Lu2 0.0000 0.8196 0.5000  2 O 2.09-2.12, 2 N 2.23
Sn1 0.5000 0.2949 0.4517  1 N 2.08
Sn2 0.5000 0.7051 0.9517  1 N 2.08
N1 0.5000 0.3785 0.0803  1 Sn 2.08, 2 Lu 2.23
N2 0.5000 0.6215 0.5803  1 Sn 2.08, 2 Lu 2.23
O1 0.0000 0.1244 0.6785  2 Lu 2.09-2.12
O2 0.0000 0.8756 0.1785  2 Lu 2.09-2.12

## Properties
relative energy among the computed polymorphs = 0.138 eV/atom
M_tot = 0.00 μB/atom

Record 11
Computed, not measured: an optimized crystal structure of LaYPd4Pb2 at the PBE level of DFT.

Lattice parameters (Å, degrees): 4.7283 4.7283 9.0634 90.00 90.00 120.00
Last column: nearest neighbours and their distance in Å.
Sites, in units of the cell vectors:
La1 0.0000 0.0000 0.0000  8 Pd 3.11-3.12
Y1 0.6667 0.3333 0.5000  8 Pd 3.01-3.08
Pd1 0.0000 0.0000 0.3426  3 Pb 2.82, 4 Pd 2.85-3.16, 3 Y 3.08, 1 La 3.11
Pd2 0.0000 0.0000 0.6574  3 Pb 2.82, 4 Pd 2.85-3.16, 3 Y 3.08, 1 La 3.11
Pd3 0.6667 0.3333 0.1676  3 Pb 2.87, 1 Y 3.01, 4 Pd 3.04-3.16, 3 La 3.12
Pd4 0.6667 0.3333 0.8324  3 Pb 2.87, 1 Y 3.01, 4 Pd 3.04-3.16, 3 La 3.12
Pb1 0.3333 0.6667 0.2637  6 Pd 2.82-2.87
Pb2 0.3333 0.6667 0.7363  6 Pd 2.82-2.87

## Properties
E = -45.0 eV for the cell shown
M_tot = 0.00 μB/atom

Record 12
Computed, not measured: an optimized crystal structure of YCuBiIr at the PBE level of DFT.

Lattice parameters (Å, degrees): 4.8381 4.8381 4.8381 60.00 60.00 60.00
Last column: nearest neighbours and their distance in Å.
Sites, in units of the cell vectors:
Y1 0.0000 0.0000 0.0000  4 Ir 2.96, 4 Cu 2.96
Cu1 0.7500 0.7500 0.7500  4 Bi 2.96, 4 Y 2.96
Bi1 0.5000 0.5000 0.5000  4 Cu 2.96, 4 Ir 2.96
Ir1 0.2500 0.2500 0.2500  4 Bi 2.96, 4 Y 2.96

## Properties
relative energy among the computed polymorphs = 0.000 eV/atom
M_tot = 0.00 μB/atom

Record 13
Computed, not measured: an optimized crystal structure of NdP2 at the PBE level of DFT.

Lattice parameters (Å, degrees): 5.4613 5.4613 5.4613 60.00 60.00 60.00
Last column: nearest neighbours and their distance in Å.
Sites, in units of the cell vectors:
Nd1 0.1250 0.1250 0.1250  12 P 3.20, 4 Nd 3.34
Nd2 0.8750 0.8750 0.8750  12 P 3.20, 4 Nd 3.34
P1 0.0000 0.5000 0.5000  6 P 2.73
P2 0.5000 0.0000 0.5000  6 P 2.73
P3 0.5000 0.5000 0.0000  6 P 2.73
P4 0.5000 0.5000 0.5000  6 P 2.73

## Properties
E = -33.1 eV for the cell shown
M_tot = 0.00 μB/atom

Record 14
Computed, not measured: an optimized crystal structure of Fe4SnC2S at the PBE level of DFT.

Lattice parameters (Å, degrees): 3.0525 3.0525 11.1841 90.00 90.00 120.00
Last column: nearest neighbours and their distance in Å.
Sites, in units of the cell vectors:
Fe1 0.0000 0.0000 0.1472  3 C 2.00
Fe2 0.0000 0.0000 0.8528  3 C 2.00
Fe3 0.6667 0.3333 0.3068  3 C 1.95
Fe4 0.6667 0.3333 0.6932  3 C 1.95
Sn1 0.0000 0.0000 0.5000  6 Fe 2.79, 6 Sn 3.05
C1 0.3333 0.6667 0.2318  6 Fe 1.95-2.00
C2 0.3333 0.6667 0.7682  6 Fe 1.95-2.00
S1 0.6667 0.3333 0.0000  6 Fe 2.41

## Properties
E = -58.5 eV for the cell shown
M_tot = 0.42 μB/atom

Record 15
Computed, not measured: an optimized crystal structure of AlCuBiIr at the PBE level of DFT.

Lattice parameters (Å, degrees): 4.6176 4.6176 4.6176 60.00 60.00 60.00
Last column: nearest neighbours and their distance in Å.
Sites, in units of the cell vectors:
Al1 0.0000 0.0000 0.0000  4 Bi 2.83, 4 Ir 2.83
Cu1 0.5000 0.5000 0.5000  4 Bi 2.83, 4 Ir 2.83
Bi1 0.7500 0.7500 0.7500  4 Cu 2.83, 4 Al 2.83
Ir1 0.2500 0.2500 0.2500  4 Cu 2.83, 4 Al 2.83

## Properties
relative energy among the computed polymorphs = 0.118 eV/atom
M_tot = 0.00 μB/atom

Record 16
Computed, not measured: an optimized crystal structure of CsNdB4 at the PBE level of DFT.

Lattice parameters (Å, degrees): 5.8642 5.8642 5.8642 148.11 123.85 66.04
Last column: nearest neighbours and their distance in Å.
Sites, in units of the cell vectors:
Cs1 0.0000 0.0000 0.0000  12 B 3.04-3.11, 4 Nd 3.20, 2 Cs 3.22
Nd1 0.5000 0.5000 0.0000  12 B 3.05-3.10, 4 Cs 3.20, 2 Nd 3.22
B1 0.0879 0.7541 0.3337  3 B 1.84-1.86
B2 0.4204 0.7541 0.6663  3 B 1.84-1.86
B3 0.5796 0.2459 0.3337  3 B 1.84-1.86
B4 0.9121 0.2459 0.6663  3 B 1.84-1.86

## Properties
relative energy among the computed polymorphs = 0.275 eV/atom
M_tot = 0.00 μB/atom

Record 17
Computed, not measured: an optimized crystal structure of Pr3Mg2InCuPt2 at the PBE level of DFT.

Lattice parameters (Å, degrees): 4.1091 7.6809 7.6809 120.08 90.00 90.00
Last column: nearest neighbours and their distance in Å.
Sites, in units of the cell vectors:
Pr1 0.0000 0.0000 0.0000  4 Pt 3.09, 1 Cu 3.17, 2 In 3.36
Pr2 0.0000 0.4258 0.8369  4 Pt 3.08-3.10, 1 Cu 3.21, 2 Mg 3.34, 2 In 3.43
Pr3 0.0000 0.8369 0.4258  4 Pt 3.08-3.10, 1 Cu 3.21, 2 Mg 3.34, 2 In 3.43
Mg1 0.5000 0.1784 0.4219  2 Cu 2.76, 2 Pt 2.92-2.96
Mg2 0.5000 0.4219 0.1784  2 Cu 2.76, 2 Pt 2.92-2.96
In1 0.5000 0.6541 0.6541  2 Cu 2.76, 2 Pt 3.07
Cu1 0.0000 0.4131 0.4131  4 Mg 2.76, 2 In 2.76
Pt1 0.5000 0.0957 0.7593  2 Mg 2.92-2.96, 1 In 3.07, 6 Pr 3.08-3.10
Pt2 0.5000 0.7593 0.0957  2 Mg 2.92-2.96, 1 In 3.07, 6 Pr 3.08-3.10

## Properties
E = -42.3 eV for the cell shown
M_tot = 0.00 μB/atom

Record 18
Computed, not measured: an optimized crystal structure of HfAgPb at the PBE level of DFT.

Lattice parameters (Å, degrees): 3.5922 3.5922 10.2014 90.00 90.00 90.00
Last column: nearest neighbours and their distance in Å.
Sites, in units of the cell vectors:
Hf1 0.2500 0.2500 0.2175  5 Ag 2.92-2.96, 4 Pb 3.11
Hf2 0.7500 0.7500 0.7825  5 Ag 2.92-2.96, 4 Pb 3.11
Ag1 0.2500 0.2500 0.9315  4 Ag 2.90, 5 Hf 2.92-2.96
Ag2 0.7500 0.7500 0.0685  4 Ag 2.90, 5 Hf 2.92-2.96
Pb1 0.2500 0.2500 0.6074  4 Hf 3.11, 1 Ag 3.31, 4 Pb 3.36
Pb2 0.7500 0.7500 0.3926  4 Hf 3.11, 1 Ag 3.31, 4 Pb 3.36

## Properties
E = -32.1 eV for the cell shown
M_tot = 0.00 μB/atom

Record 19
Computed, not measured: an optimized crystal structure of Y2HfP3 at the PBE level of DFT.

Lattice parameters (Å, degrees): 3.8836 3.8836 9.5918 90.00 90.00 120.00
Last column: nearest neighbours and their distance in Å.
Sites, in units of the cell vectors:
Y1 0.3333 0.6667 0.3276  6 P 2.79-2.81
Y2 0.6667 0.3333 0.6724  6 P 2.79-2.81
Hf1 0.0000 0.0000 0.0000  6 P 2.67
P1 0.0000 0.0000 0.5000  6 Y 2.79
P2 0.3333 0.6667 0.8489  3 Hf 2.67, 3 Y 2.81
P3 0.6667 0.3333 0.1511  3 Hf 2.67, 3 Y 2.81

## Properties
E = -48.2 eV for the cell shown
M_tot = 0.00 μB/atom

Record 20
Computed, not measured: an optimized crystal structure of NaHfAuS3 at the PBE level of DFT.

Lattice parameters (Å, degrees): 11.5712 3.7378 11.5564 90.00 90.00 90.00
Last column: nearest neighbours and their distance in Å.
Sites, in units of the cell vectors:
Na1 0.1495 0.2500 0.0004  5 S 2.75-3.02, 2 Au 3.07
Na2 0.3505 0.7500 0.5004  5 S 2.75-3.02, 2 Au 3.07
Na3 0.6495 0.2500 0.4996  5 S 2.75-3.02, 2 Au 3.07
Na4 0.8505 0.7500 0.9996  5 S 2.75-3.02, 2 Au 3.07
Hf1 0.0523 0.2500 0.3314  5 S 2.36-2.62
Hf2 0.4477 0.7500 0.8314  5 S 2.36-2.62
Hf3 0.5523 0.2500 0.1686  5 S 2.36-2.62
Hf4 0.9477 0.7500 0.6686  5 S 2.36-2.62
Au1 0.2498 0.2500 0.6855  2 S 2.40-2.46
Au2 0.2502 0.7500 0.1855  2 S 2.40-2.46
Au3 0.7498 0.2500 0.8145  2 S 2.40-2.46
Au4 0.7502 0.7500 0.3145  2 S 2.40-2.46
S1 0.0383 0.7500 0.1728  1 Au 2.46, 2 Hf 2.62
S2 0.0746 0.2500 0.5750  1 Au 2.40, 2 Hf 2.61
S3 0.2449 0.7500 0.8547  1 Hf 2.36
S4 0.2551 0.2500 0.3547  1 Hf 2.36
S5 0.4254 0.7500 0.0750  1 Au 2.40, 2 Hf 2.61
S6 0.4617 0.2500 0.6728  1 Au 2.46, 2 Hf 2.62
S7 0.5383 0.7500 0.3272  1 Au 2.46, 2 Hf 2.62
S8 0.5746 0.2500 0.9250  1 Au 2.40, 2 Hf 2.61
S9 0.7449 0.7500 0.6453  1 Hf 2.36
S10 0.7551 0.2500 0.1453  1 Hf 2.36
S11 0.9254 0.7500 0.4250  1 Au 2.40, 2 Hf 2.61
S12 0.9617 0.2500 0.8272  1 Au 2.46, 2 Hf 2.62

## Properties
relative energy among the computed polymorphs = 0.069 eV/atom
M_tot = 0.00 μB/atom